Entry from Alexandria via LeMat-Bulk: a relaxed NaMoP2O crystal (GGA+U).

Cell: 4.8679 4.8679 3.8599 Å, 90.00 90.00 90.00°
Space group P4/mmm (No. 123)
Asymmetric unit:
Na  0.0000  0.0000  0.0000 [1 per cell]
Mo  0.5000  0.5000  0.5000 [1 per cell]
P  0.0000  0.5000  0.5000 [2 per cell]
O  0.5000  0.5000  0.0000 [1 per cell]

Computed properties:
The total magnetization comes out at 0.000 μB/f.u. Its energy relative to the lowest polymorph listed for this composition is 0 meV/atom.